(1)
MgCd2P: optimized geometry, PBE.

Lattice parameters (Å, degrees): 8.1381 3.8429 6.2961 90.00 108.01 90.00
Last column: nearest neighbours and their distance in Å.
Atoms (fractional coordinates):
Mg (0.0000, 0.0000, 0.0000)  3 P 2.52-2.57
Mg (0.5000, 0.5000, 0.0000)  3 P 2.52-2.57
Cd (0.1272, 0.0000, 0.5770)  2 P 2.76, 3 Cd 2.89-3.02
Cd (0.3567, 0.0000, 0.3067)  3 Cd 2.89-3.02, 3 Mg 2.95-3.19, 2 P 3.16
Cd (0.6272, 0.5000, 0.5770)  2 P 2.76, 3 Cd 2.89-3.02
Cd (0.8567, 0.5000, 0.3067)  3 Cd 2.89-3.02, 3 Mg 2.95-3.19, 2 P 3.16
P (0.1756, 0.5000, 0.9048)  3 Mg 2.52-2.57, 2 Cd 2.76
P (0.6756, 0.0000, 0.9048)  3 Mg 2.52-2.57, 2 Cd 2.76

## Properties
The total energy comes out at -18.40 eV/cell. As for the space group: No. 8. The energy of formation is -0.4 eV/f.u. As for the density of states at the Fermi level: 0.274 states/eV per atom. Its volume is 187 Å³/cell.

(2)
BaNa2IrBr8: optimized geometry, PBE.

Lattice parameters (Å, degrees): 6.4003 7.2901 9.0937 90.02 90.01 110.67
Last column: nearest neighbours and their distance in Å.
Atoms (fractional coordinates):
Ba (0.0000, 0.0000, 0.0000)  6 Br 3.22-3.32
Na (0.0017, 0.5007, 0.2482)  6 Br 2.96-3.11
Na (0.9983, 0.4993, 0.7518)  6 Br 2.96-3.11
Ir (0.0000, 0.0000, 0.5000)  6 Br 2.48-2.52
Br (0.2300, 0.7886, 0.5006)  1 Ir 2.48
Br (0.2471, 0.2180, 0.6937)  1 Ir 2.52
Br (0.2479, 0.2173, 0.3065)  1 Ir 2.52
Br (0.2814, 0.7110, 0.9995)  2 Na 2.96, 1 Ba 3.22
Br (0.7186, 0.2890, 0.0005)  2 Na 2.96, 1 Ba 3.22
Br (0.7521, 0.7827, 0.6935)  1 Ir 2.52
Br (0.7529, 0.7820, 0.3063)  1 Ir 2.52
Br (0.7700, 0.2114, 0.4994)  1 Ir 2.48

## Properties
The total energy comes out at -39.95 eV/cell. As for the space group: No. 2. As for the density of states at the Fermi level: 0.884 states/eV per atom. Its volume is 397 Å³/cell.

(3)
LiGd2Mg: optimized geometry, PBE.

Lattice parameters (Å, degrees): 3.3696 3.3696 35.8461 90.00 90.00 120.00
Last column: nearest neighbours and their distance in Å.
Atoms (fractional coordinates):
Li (0.0000, 0.0000, 0.0000)  2 Gd 3.24, 6 Li 3.37
Li (0.3333, 0.6667, 0.6667)  2 Gd 3.24, 6 Li 3.37
Li (0.6667, 0.3333, 0.3333)  2 Gd 3.24, 6 Li 3.37
Gd (0.0000, 0.0000, 0.0904)  1 Li 3.24, 3 Mg 3.36, 6 Gd 3.37
Gd (0.0000, 0.0000, 0.9096)  1 Li 3.24, 3 Mg 3.36, 6 Gd 3.37
Gd (0.3333, 0.6667, 0.5763)  1 Li 3.24, 3 Mg 3.36, 6 Gd 3.37
Gd (0.3333, 0.6667, 0.7570)  1 Li 3.24, 3 Mg 3.36, 6 Gd 3.37
Gd (0.6667, 0.3333, 0.2430)  1 Li 3.24, 3 Mg 3.36, 6 Gd 3.37
Gd (0.6667, 0.3333, 0.4237)  1 Li 3.24, 3 Mg 3.36, 6 Gd 3.37
Mg (0.0000, 0.0000, 0.5000)  6 Gd 3.36, 6 Mg 3.37
Mg (0.3333, 0.6667, 0.1667)  6 Gd 3.36, 6 Mg 3.37
Mg (0.6667, 0.3333, 0.8333)  6 Gd 3.36, 6 Mg 3.37

## Properties
The total energy comes out at -92.69 eV/cell. As for the space group: No. 166. The energy of formation is 0.8 eV/f.u. As for the density of states at the Fermi level: 1.308 states/eV per atom. Its volume is 352 Å³/cell. As for the offset from the most stable computed form: 0.75 eV per formula unit.

(4)
InRe2Au: optimized geometry, PBE.

Lattice parameters (Å, degrees): 3.1549 4.4803 4.8152 90.00 90.00 90.00
Last column: nearest neighbours and their distance in Å.
Atoms (fractional coordinates):
In (0.0000, 0.0000, 0.0000)  4 Au 2.74, 4 Re 2.88
Re (0.0000, 0.5000, 0.5000)  4 Re 2.74, 4 Au 2.88
Re (0.5000, 0.0000, 0.5000)  4 Re 2.74, 4 In 2.88
Au (0.5000, 0.5000, 0.0000)  4 In 2.74, 4 Re 2.88

## Properties
The total energy comes out at -28.49 eV/cell. As for the space group: No. 47. The energy of formation is 2.4 eV/f.u. As for the density of states at the Fermi level: 0.836 states/eV per atom. Its volume is 68 Å³/cell.

(5)
CrRe2Cl: optimized geometry, PBE.

Lattice parameters (Å, degrees): 3.5486 3.5486 5.4771 90.00 90.00 90.00
Last column: nearest neighbours and their distance in Å.
Atoms (fractional coordinates):
Cr (0.0000, 0.0000, 0.0000)  4 Cl 2.51
Re (0.0000, 0.5000, 0.5000)  4 Re 2.51
Re (0.5000, 0.0000, 0.5000)  4 Re 2.51
Cl (0.5000, 0.5000, 0.0000)  4 Cr 2.51

## Properties
The total energy comes out at -31.91 eV/cell. As for the space group: No. 123. As for the density of states at the Fermi level: 0.575 states/eV per atom. Its volume is 69 Å³/cell. As for the offset from the most stable computed form: 3.39 eV per formula unit.

(6)
BaIr3W: optimized geometry, PBE.

Lattice parameters (Å, degrees): 4.8920 4.8920 4.8920 90.00 90.00 90.00
Last column: nearest neighbours and their distance in Å.
Atoms (fractional coordinates):
Ba (0.0000, 0.0000, 0.0000)  12 Ir 3.46
Ir (0.0000, 0.5000, 0.5000)  2 W 2.45
Ir (0.5000, 0.0000, 0.5000)  2 W 2.45
Ir (0.5000, 0.5000, 0.0000)  2 W 2.45
W (0.5000, 0.5000, 0.5000)  6 Ir 2.45

## Properties
The total energy comes out at -37.85 eV/cell. As for the space group: No. 221. The energy of formation is 3.6 eV/f.u. As for the density of states at the Fermi level: 1.018 states/eV per atom. Its volume is 117 Å³/cell. As for the offset from the most stable computed form: 0.00 eV per formula unit.

(7)
Th3Tl3Hg2: optimized geometry, PBE.

Lattice parameters (Å, degrees): 6.3384 6.3384 16.1630 90.00 90.00 135.78
Last column: nearest neighbours and their distance in Å.
Atoms (fractional coordinates):
Th (0.0731, 0.9269, 0.6111)  6 Tl 3.30-3.56, 3 Hg 3.35-3.48
Th (0.0731, 0.9269, 0.8889)  6 Tl 3.30-3.56, 3 Hg 3.35-3.48
Th (0.3385, 0.6615, 0.7500)  1 Tl 3.15, 4 Hg 3.25
Th (0.6615, 0.3385, 0.2500)  1 Tl 3.15, 4 Hg 3.25
Th (0.9269, 0.0731, 0.1111)  6 Tl 3.30-3.56, 3 Hg 3.35-3.48
Th (0.9269, 0.0731, 0.3889)  6 Tl 3.30-3.56, 3 Hg 3.35-3.48
Tl (0.3754, 0.6246, 0.5336)  3 Hg 2.93-3.11, 1 Tl 3.12
Tl (0.3754, 0.6246, 0.9664)  3 Hg 2.93-3.11, 1 Tl 3.12
Tl (0.3935, 0.6065, 0.2500)  2 Hg 3.02, 5 Th 3.15-3.30
Tl (0.6065, 0.3935, 0.7500)  2 Hg 3.02, 5 Th 3.15-3.30
Tl (0.6246, 0.3754, 0.0336)  3 Hg 2.93-3.11, 1 Tl 3.12
Tl (0.6246, 0.3754, 0.4664)  3 Hg 2.93-3.11, 1 Tl 3.12
Hg (0.2117, 0.7883, 0.1180)  4 Tl 2.93-3.11, 2 Th 3.25
Hg (0.2117, 0.7883, 0.3820)  4 Tl 2.93-3.11, 2 Th 3.25
Hg (0.7883, 0.2117, 0.6180)  4 Tl 2.93-3.11, 2 Th 3.25
Hg (0.7883, 0.2117, 0.8820)  4 Tl 2.93-3.11, 2 Th 3.25

## Properties
The total energy comes out at -61.74 eV/cell. As for the space group: No. 63. The energy of formation is -0.9 eV/f.u. As for the density of states at the Fermi level: 1.041 states/eV per atom. Its volume is 453 Å³/cell. As for the offset from the most stable computed form: 0.34 eV per formula unit.

(8)
ZrPb3: optimized geometry, PBE.

Lattice parameters (Å, degrees): 3.4141 3.4141 11.1141 90.00 90.00 120.00
Last column: nearest neighbours and their distance in Å.
Atoms (fractional coordinates):
Zr (0.0000, 0.0000, 0.0000)  6 Pb 3.23, 6 Zr 3.41
Pb (0.0000, 0.0000, 0.5000)  12 Pb 3.41-3.59
Pb (0.3333, 0.6667, 0.2302)  3 Zr 3.23, 9 Pb 3.41-3.59
Pb (0.3333, 0.6667, 0.7698)  3 Zr 3.23, 9 Pb 3.41-3.59

## Properties
The total energy comes out at -19.54 eV/cell. As for the space group: No. 187. The energy of formation is 0.1 eV/f.u. As for the density of states at the Fermi level: 0.623 states/eV per atom. Its volume is 112 Å³/cell.

(9)
TcAsAu3: optimized geometry, PBE.

Lattice parameters (Å, degrees): 5.0081 5.0081 5.0081 90.00 90.00 90.00
Last column: nearest neighbours and their distance in Å.
Atoms (fractional coordinates):
Tc (0.0000, 0.0000, 0.0000)  6 Au 2.50
As (0.5000, 0.5000, 0.5000)  12 Au 3.54
Au (0.0000, 0.0000, 0.5000)  2 Tc 2.50
Au (0.0000, 0.5000, 0.0000)  2 Tc 2.50
Au (0.5000, 0.0000, 0.0000)  2 Tc 2.50

## Properties
The total energy comes out at -17.91 eV/cell. As for the space group: No. 221. The energy of formation is 6.9 eV/f.u. As for the density of states at the Fermi level: 1.196 states/eV per atom. Its volume is 126 Å³/cell. As for the offset from the most stable computed form: 1.86 eV per formula unit.

(10)
NaCa4Pd: optimized geometry, PBE.

Lattice parameters (Å, degrees): 8.3352 8.3352 6.6615 100.10 100.10 109.07
Last column: nearest neighbours and their distance in Å.
Atoms (fractional coordinates):
Na (0.1183, 0.8817, 0.7500)  8 Ca 3.52-3.84
Na (0.8817, 0.1183, 0.2500)  8 Ca 3.52-3.84
Ca (0.1486, 0.3219, 0.8828)  2 Pd 3.17-3.19, 1 Na 3.53
Ca (0.2313, 0.5627, 0.4489)  2 Pd 2.94-2.97
Ca (0.3219, 0.1486, 0.3828)  2 Pd 3.17-3.19, 1 Na 3.53
Ca (0.4373, 0.7687, 0.0511)  2 Pd 2.94-2.97
Ca (0.5627, 0.2313, 0.9489)  2 Pd 2.94-2.97
Ca (0.6781, 0.8514, 0.6172)  2 Pd 3.17-3.19, 1 Na 3.53
Ca (0.7687, 0.4373, 0.5511)  2 Pd 2.94-2.97
Ca (0.8514, 0.6781, 0.1172)  2 Pd 3.17-3.19, 1 Na 3.53
Pd (0.4994, 0.5006, 0.7500)  8 Ca 2.94-3.19
Pd (0.5006, 0.4994, 0.2500)  8 Ca 2.94-3.19

## Properties
The total energy comes out at -31.82 eV/cell. As for the space group: No. 15. The energy of formation is -1.4 eV/f.u. As for the density of states at the Fermi level: 0.684 states/eV per atom. Its volume is 417 Å³/cell. As for the offset from the most stable computed form: 0.00 eV per formula unit.

Which value of volume does entry 8 give? 112 Å³/cell